Ba3AgSb: single point on PBEsol structure, meta-GGA SCAN.

The calculation puts the formation energy from raw total energies at -0.237 eV per atom. Its density is 3.80 g/cm3. As for the size of the total moment: 0.00 μB/cell. The uncorrected energy is -37.692 eV/atom. Its density of states at the Fermi level is 4.3 states/eV/f.u.

The structure belongs to space group Pm-3m (No. 221); the cell edges are 6.544, 6.544 and 6.544 Å and the angles 90.00°, 90.00° and 90.00°. The distinct sites, in fractional coordinates, are Ba at (0.000, 0.000, 0.500), Ag at (0.500, 0.500, 0.500) and Sb at (0.000, 0.000, 0.000).

BaAgSb2: single point on PBEsol structure, meta-GGA SCAN.

The calculation puts the formation energy from raw total energies at -0.212 eV per atom. Its density is 7.16 g/cm3. As for the size of the total moment: 0.00 μB/cell. The uncorrected energy is -36.572 eV/atom. Its density of states at the Fermi level is 2.3 states/eV/f.u.

The structure belongs to space group F-43m (No. 216); the cell edges are 7.684, 7.684 and 7.684 Å and the angles 90.00°, 90.00° and 90.00°. The distinct sites, in fractional coordinates, are Ba at (0.000, 0.000, 0.000), Ag at (0.250, 0.250, 0.750), Sb at (0.000, 0.000, 0.500) and Sb at (0.250, 0.250, 0.250).